Entry 1:
VASP calculation (PBE) on an optimized crystal structure of ZrSnBi.

Lattice parameters (Å, degrees): 3.185 5.774 17.725 90.00 90.00 90.00
Positions (direct):
1 Zr 0.000 0.000 0.165
2 Zr 0.000 0.000 0.835
3 Zr 0.500 0.500 0.335
4 Zr 0.500 0.500 0.665
5 Sn 0.000 0.000 0.334
6 Sn 0.000 0.000 0.666
7 Sn 0.500 0.500 0.166
8 Sn 0.500 0.500 0.834
9 Bi 0.000 0.249 0.000
10 Bi 0.000 0.751 0.000
11 Bi 0.500 0.251 0.500
12 Bi 0.500 0.749 0.500

ΔE to the lowest computed polymorph = 452 meV per atom
Symmetry = No. 71

=====

Entry 2:
VASP calculation (PBE) on an optimized crystal structure of Sr4Bi11.

Lattice parameters (Å, degrees): 6.912 8.857 9.217 84.25 70.23 88.64
Positions (direct):
1 Sr 0.052 0.399 0.272
2 Sr 0.363 0.938 0.736
3 Sr 0.637 0.062 0.264
4 Sr 0.948 0.601 0.728
5 Bi 0.000 0.000 0.500
6 Bi 0.020 0.250 0.902
7 Bi 0.232 0.039 0.118
8 Bi 0.306 0.299 0.536
9 Bi 0.309 0.722 0.344
10 Bi 0.405 0.530 0.863
11 Bi 0.595 0.470 0.137
12 Bi 0.691 0.278 0.656
13 Bi 0.694 0.701 0.464
14 Bi 0.768 0.961 0.882
15 Bi 0.980 0.750 0.098

ΔE to the lowest computed polymorph = 8 meV per atom
Symmetry = No. 2

=====

Entry 3:
VASP calculation (PBE) on an optimized crystal structure of Sr2Bi.

Lattice parameters (Å, degrees): 5.090 5.090 9.222 90.00 90.00 90.00
Positions (direct):
1 Sr 0.250 0.250 0.143
2 Sr 0.250 0.750 0.500
3 Sr 0.750 0.250 0.500
4 Sr 0.750 0.750 0.857
5 Bi 0.250 0.250 0.769
6 Bi 0.750 0.750 0.231

Symmetry = No. 129

=====

Entry 4:
VASP calculation (PBE) on an optimized crystal structure of SrBi3.

Lattice parameters (Å, degrees): 5.077 5.077 5.077 90.00 90.00 90.00
Positions (direct):
1 Sr 0.000 0.000 0.000
2 Bi 0.000 0.500 0.500
3 Bi 0.500 0.000 0.500
4 Bi 0.500 0.500 0.000

Symmetry = No. 221

=====

Entry 5:
VASP calculation (PBE) on an optimized crystal structure of SrBi6.

Lattice parameters (Å, degrees): 8.823 8.823 8.823 90.00 90.00 90.00
Positions (direct):
1 Sr 0.000 0.000 0.000
2 Sr 0.500 0.500 0.500
3 Bi 0.000 0.250 0.500
4 Bi 0.000 0.500 0.250
5 Bi 0.000 0.500 0.750
6 Bi 0.000 0.750 0.500
7 Bi 0.250 0.000 0.500
8 Bi 0.250 0.500 0.000
9 Bi 0.500 0.000 0.250
10 Bi 0.500 0.000 0.750
11 Bi 0.500 0.250 0.000
12 Bi 0.500 0.750 0.000
13 Bi 0.750 0.000 0.500
14 Bi 0.750 0.500 0.000

Symmetry = No. 229

=====

Entry 6:
VASP calculation (PBE) on an optimized crystal structure of Sr3Bi.

Lattice parameters (Å, degrees): 4.568 5.945 12.944 90.00 90.00 90.00
Positions (direct):
1 Sr 0.000 0.000 0.000
2 Sr 0.000 0.500 0.199
3 Sr 0.000 0.500 0.801
4 Sr 0.500 0.000 0.301
5 Sr 0.500 0.000 0.699
6 Sr 0.500 0.500 0.500
7 Bi 0.000 0.000 0.500
8 Bi 0.500 0.500 0.000

ΔE to the lowest computed polymorph = 0 meV per atom
Symmetry = No. 71

=====

Entry 7:
VASP calculation (PBE) on an optimized crystal structure of SrBi2.

Lattice parameters (Å, degrees): 6.744 6.744 6.744 60.00 60.00 60.00
Positions (direct):
1 Sr 0.125 0.125 0.125
2 Sr 0.875 0.875 0.875
3 Bi 0.000 0.500 0.500
4 Bi 0.500 0.000 0.500
5 Bi 0.500 0.500 0.000
6 Bi 0.500 0.500 0.500

Symmetry = No. 227

=====

Entry 8:
VASP calculation (PBE) on an optimized crystal structure of Sr2Bi.

Lattice parameters (Å, degrees): 4.175 4.175 14.828 90.00 90.00 90.00
Positions (direct):
1 Sr 0.000 0.000 0.131
2 Sr 0.000 0.000 0.869
3 Sr 0.500 0.500 0.369
4 Sr 0.500 0.500 0.631
5 Bi 0.000 0.000 0.500
6 Bi 0.500 0.500 0.000

Symmetry = No. 139

=====

Entry 9:
VASP calculation (PBE) on an optimized crystal structure of SrBi5.

Lattice parameters (Å, degrees): 5.312 16.689 4.468 90.00 90.00 90.00
Positions (direct):
1 Sr 0.000 0.000 0.000
2 Sr 0.500 0.500 0.000
3 Bi 0.000 0.188 0.500
4 Bi 0.000 0.348 0.000
5 Bi 0.000 0.500 0.500
6 Bi 0.000 0.652 0.000
7 Bi 0.000 0.812 0.500
8 Bi 0.500 0.000 0.500
9 Bi 0.500 0.152 0.000
10 Bi 0.500 0.312 0.500
11 Bi 0.500 0.688 0.500
12 Bi 0.500 0.848 0.000

Symmetry = No. 65

=====

Entry 10:
VASP calculation (PBE) on an optimized crystal structure of Sr2Bi.

Lattice parameters (Å, degrees): 7.274 7.274 9.769 90.00 111.83 90.00
Positions (direct):
1 Sr 0.177 0.000 0.354
2 Sr 0.250 0.250 0.000
3 Sr 0.250 0.750 0.000
4 Sr 0.323 0.500 0.646
5 Sr 0.677 0.500 0.354
6 Sr 0.750 0.250 0.000
7 Sr 0.750 0.750 0.000
8 Sr 0.823 0.000 0.646
9 Bi 0.135 0.500 0.271
10 Bi 0.365 0.000 0.729
11 Bi 0.635 0.000 0.271
12 Bi 0.865 0.500 0.729

Symmetry = No. 12

=====

Entry 11:
VASP calculation (PBE) on an optimized crystal structure of Sr11Bi10.

Lattice parameters (Å, degrees): 13.039 13.039 13.039 120.29 120.29 89.50
Positions (direct):
1 Sr 0.059 0.310 0.749
2 Sr 0.104 0.443 0.339
3 Sr 0.104 0.764 0.661
4 Sr 0.162 0.162 0.000
5 Sr 0.236 0.896 0.339
6 Sr 0.310 0.059 0.749
7 Sr 0.310 0.561 0.251
8 Sr 0.334 0.334 0.668
9 Sr 0.334 0.666 0.000
10 Sr 0.439 0.690 0.749
11 Sr 0.443 0.104 0.339
12 Sr 0.557 0.896 0.661
13 Sr 0.561 0.310 0.251
14 Sr 0.666 0.334 0.000
15 Sr 0.666 0.666 0.332
16 Sr 0.690 0.439 0.749
17 Sr 0.690 0.941 0.251
18 Sr 0.764 0.104 0.661
19 Sr 0.838 0.838 0.000
20 Sr 0.896 0.236 0.339
21 Sr 0.896 0.557 0.661
22 Sr 0.941 0.690 0.251
23 Bi 0.033 0.033 0.412
24 Bi 0.033 0.620 0.000
25 Bi 0.126 0.126 0.252
26 Bi 0.126 0.874 0.000
27 Bi 0.151 0.500 0.651
28 Bi 0.250 0.750 0.500
29 Bi 0.374 0.374 0.000
30 Bi 0.380 0.380 0.412
31 Bi 0.380 0.967 0.000
32 Bi 0.500 0.151 0.651
33 Bi 0.500 0.849 0.349
34 Bi 0.620 0.033 0.000
35 Bi 0.620 0.620 0.588
36 Bi 0.626 0.626 0.000
37 Bi 0.750 0.250 0.500
38 Bi 0.849 0.500 0.349
39 Bi 0.874 0.126 0.000
40 Bi 0.874 0.874 0.748
41 Bi 0.967 0.380 0.000
42 Bi 0.967 0.967 0.588

Symmetry = No. 139

=====

Entry 12:
VASP calculation (PBE) on an optimized crystal structure of Sr4Bi3.

Lattice parameters (Å, degrees): 8.847 8.847 8.847 109.47 109.47 109.47
Positions (direct):
1 Sr 0.000 0.145 0.500
2 Sr 0.000 0.645 0.500
3 Sr 0.145 0.500 0.000
4 Sr 0.355 0.355 0.355
5 Sr 0.500 0.000 0.145
6 Sr 0.500 0.000 0.645
7 Sr 0.645 0.500 0.000
8 Sr 0.855 0.855 0.855
9 Bi 0.125 0.875 0.250
10 Bi 0.250 0.125 0.875
11 Bi 0.375 0.625 0.750
12 Bi 0.625 0.750 0.375
13 Bi 0.750 0.375 0.625
14 Bi 0.875 0.250 0.125

Symmetry = No. 220

=====

Entry 13:
VASP calculation (PBE) on an optimized crystal structure of Sr4Bi.

Lattice parameters (Å, degrees): 6.517 6.517 6.517 90.00 90.00 90.00
Positions (direct):
1 Sr 0.000 0.000 0.000
2 Sr 0.000 0.500 0.500
3 Sr 0.500 0.000 0.500
4 Sr 0.500 0.500 0.000
5 Bi 0.500 0.500 0.500

Symmetry = No. 221

=====

Entry 14:
VASP calculation (PBE) on an optimized crystal structure of Sr3Bi.

Lattice parameters (Å, degrees): 4.717 4.718 8.793 90.00 90.00 90.00
Positions (direct):
1 Sr 0.000 0.000 0.000
2 Sr 0.000 0.500 0.343
3 Sr 0.500 0.500 0.687
4 Bi 0.500 0.000 0.344

ΔE to the lowest computed polymorph = 121 meV per atom
Symmetry = No. 25

=====

Entry 15:
VASP calculation (PBE) on an optimized crystal structure of Sr5Bi2.

Lattice parameters (Å, degrees): 9.857 9.857 9.005 96.25 96.25 44.94
Positions (direct):
1 Sr 0.106 0.894 0.750
2 Sr 0.144 0.298 0.316
3 Sr 0.290 0.527 0.077
4 Sr 0.298 0.144 0.816
5 Sr 0.473 0.710 0.423
6 Sr 0.527 0.290 0.577
7 Sr 0.702 0.856 0.184
8 Sr 0.710 0.473 0.923
9 Sr 0.856 0.702 0.684
10 Sr 0.894 0.106 0.250
11 Bi 0.087 0.701 0.419
12 Bi 0.299 0.913 0.081
13 Bi 0.701 0.087 0.919
14 Bi 0.913 0.299 0.581

Symmetry = No. 15

=====

Entry 16:
VASP calculation (PBE) on an optimized crystal structure of Sr4Bi11.

Lattice parameters (Å, degrees): 6.613 8.807 9.303 97.89 103.83 91.89
Positions (direct):
1 Sr 0.124 0.041 0.232
2 Sr 0.316 0.622 0.798
3 Sr 0.684 0.378 0.202
4 Sr 0.876 0.959 0.768
5 Bi 0.056 0.268 0.605
6 Bi 0.116 0.336 0.997
7 Bi 0.269 0.447 0.379
8 Bi 0.340 0.969 0.616
9 Bi 0.406 0.715 0.193
10 Bi 0.500 0.000 0.000
11 Bi 0.594 0.285 0.807
12 Bi 0.660 0.031 0.384
13 Bi 0.731 0.553 0.621
14 Bi 0.884 0.664 0.003
15 Bi 0.944 0.732 0.395

ΔE to the lowest computed polymorph = 0 meV per atom
Symmetry = No. 2

=====

Entry 17:
VASP calculation (PBE) on an optimized crystal structure of SrBi3.

Lattice parameters (Å, degrees): 8.151 8.151 8.151 90.00 90.00 90.00
Positions (direct):
1 Sr 0.000 0.000 0.000
2 Sr 0.000 0.500 0.500
3 Sr 0.500 0.000 0.500
4 Sr 0.500 0.500 0.000
5 Bi 0.000 0.000 0.500
6 Bi 0.000 0.500 0.000
7 Bi 0.250 0.250 0.250
8 Bi 0.250 0.250 0.750
9 Bi 0.250 0.750 0.250
10 Bi 0.250 0.750 0.750
11 Bi 0.500 0.000 0.000
12 Bi 0.500 0.500 0.500
13 Bi 0.750 0.250 0.250
14 Bi 0.750 0.250 0.750
15 Bi 0.750 0.750 0.250
16 Bi 0.750 0.750 0.750

Symmetry = No. 225

=====

Entry 18:
VASP calculation (PBE) on an optimized crystal structure of SrBi2.

Lattice parameters (Å, degrees): 4.371 4.371 11.448 90.00 90.00 90.00
Positions (direct):
1 Sr 0.000 0.000 0.000
2 Sr 0.500 0.500 0.500
3 Bi 0.000 0.000 0.300
4 Bi 0.000 0.000 0.700
5 Bi 0.500 0.500 0.200
6 Bi 0.500 0.500 0.800

Symmetry = No. 139

=====

Entry 19:
VASP calculation (PBE) on an optimized crystal structure of Sr5Bi.

Lattice parameters (Å, degrees): 5.213 17.806 5.831 90.00 90.00 90.00
Positions (direct):
1 Sr 0.000 0.000 0.000
2 Sr 0.000 0.149 0.500
3 Sr 0.000 0.333 0.000
4 Sr 0.000 0.667 0.000
5 Sr 0.000 0.851 0.500
6 Sr 0.500 0.167 0.000
7 Sr 0.500 0.351 0.500
8 Sr 0.500 0.500 0.000
9 Sr 0.500 0.649 0.500
10 Sr 0.500 0.833 0.000
11 Bi 0.000 0.500 0.500
12 Bi 0.500 0.000 0.500

Symmetry = No. 65

=====

Entry 20:
VASP calculation (PBE) on an optimized crystal structure of Sr3Bi.

Lattice parameters (Å, degrees): 7.763 7.763 6.270 90.00 90.00 120.00
Positions (direct):
1 Sr 0.171 0.342 0.250
2 Sr 0.171 0.829 0.250
3 Sr 0.342 0.171 0.750
4 Sr 0.658 0.829 0.250
5 Sr 0.829 0.171 0.750
6 Sr 0.829 0.658 0.750
7 Bi 0.333 0.667 0.750
8 Bi 0.667 0.333 0.250

ΔE to the lowest computed polymorph = 29 meV per atom
Symmetry = No. 194

=====

Values of density, in order: 8.5 8.3 5.3 9.1 6.5 4.5 7.7 4.9 9.5 5.3 6.5 6.1 3.4 4.0 4.6 8.5 8.8 7.7 4.0 4.8, all in Mg/m³.
Values of DOS at the Fermi energy, in order: 6.8 6.6 1.1 2.1 10.1 7.5 4.4 5.9 5.7 2.5 17.9 11.2 3.6 3.8 10.0 6.9 12.8 1.9 8.5 6.6, all in states/eV per cell.
Values of DFT total energy, in order: -64.5 -55.3 -18.7 -15.1 -47.5 -21.4 -21.4 -17.8 -44.9 -38.1 -150.9 -49.2 -12.0 -10.2 -40.8 -55.4 -57.7 -21.5 -27.9 -21.1, all in eV per cell.